First-principles (PBE) data for a relaxed structure of La2CdIn4Au3, as listed in Alexandria.

a = 4.593 Å, b = 4.593 Å, c = 11.865 Å
α = 90.00°, β = 90.00°, γ = 90.00°
Element x y z (fractional)
Au 0.000 0.500 0.136
Au 0.000 0.000 0.500
Au 0.500 0.000 0.864
La 0.500 0.000 0.249
La 0.000 0.500 0.751
In 0.500 0.000 0.639
In 0.000 0.500 0.361
In 0.500 0.500 0.000
In 0.000 0.000 0.000
Cd 0.500 0.500 0.500

Output
Volume (Å³/atom): 25.0
Space group: P-4m2 (115)
Energy relative to the elements (meV/atom): -520